[1]
First-principles (GGA-PBE) data for a relaxed CrPtRh4 crystal, as listed in Alexandria.

Unit cell a=5.0839 b=5.0839 c=5.0839 alpha=60.00 beta=60.00 gamma=60.00
Sites, in units of the cell vectors:
1 Cr 0.0000 0.0000 0.0000
2 Pt 0.7500 0.7500 0.7500
3 Rh 0.3751 0.3751 0.3751
4 Rh 0.3751 0.3751 0.8746
5 Rh 0.3751 0.8746 0.3751
6 Rh 0.8746 0.3751 0.3751

## Properties
spin magnetization = 0.91 μB per cell
E above lowest polymorph = 386 meV per atom
calculated formation energy = 0.33 eV per atom

---

[2]
First-principles (GGA-PBE) data for a relaxed CrPt3Rh2 crystal, as listed in Alexandria.

Unit cell a=9.1438 b=8.7185 c=4.7600 alpha=79.55 beta=69.66 gamma=30.79
Sites, in units of the cell vectors:
1 Cr 0.1250 0.1250 0.1250
2 Cr 0.8750 0.8750 0.8750
3 Pt 0.0429 0.0429 0.7071
4 Pt 0.2929 0.2929 0.9571
5 Pt 0.3750 0.3750 0.3750
6 Pt 0.6250 0.6250 0.6250
7 Pt 0.7071 0.7071 0.0429
8 Pt 0.9571 0.9571 0.2929
9 Rh 0.2085 0.2085 0.5415
10 Rh 0.4585 0.4585 0.7915
11 Rh 0.5415 0.5415 0.2085
12 Rh 0.7915 0.7915 0.4585

## Properties
spin magnetization = 3.01 μB per cell
calculated formation energy = -0.15 eV per atom

---

[3]
First-principles (GGA-PBE) data for a relaxed CrPt2Rh crystal, as listed in Alexandria.

Unit cell a=2.7167 b=2.7167 c=7.7325 alpha=90.00 beta=90.00 gamma=90.00
Sites, in units of the cell vectors:
1 Cr 0.0000 0.0000 0.0000
2 Pt 0.0000 0.0000 0.5136
3 Pt 0.5000 0.5000 0.2369
4 Rh 0.5000 0.5000 0.7837

## Properties
spin magnetization = 0.00 μB per cell
calculated formation energy = -0.17 eV per atom

---

[4]
First-principles (GGA-PBE) data for a relaxed CrPtRh2 crystal, as listed in Alexandria.

Unit cell a=2.6994 b=2.6994 c=7.6558 alpha=90.00 beta=90.00 gamma=90.00
Sites, in units of the cell vectors:
1 Cr 0.0000 0.0000 0.0000
2 Pt 0.5000 0.5000 0.2427
3 Rh 0.0000 0.0000 0.5128
4 Rh 0.5000 0.5000 0.7749

## Properties
spin magnetization = 0.44 μB per cell
calculated formation energy = -0.09 eV per atom

---

[5]
First-principles (GGA-PBE) data for a relaxed Cr2PtRh2 crystal, as listed in Alexandria.

Unit cell a=6.9473 b=6.9473 c=6.9473 alpha=144.08 beta=134.51 gamma=59.28
Sites, in units of the cell vectors:
1 Cr 0.2078 0.1897 0.0181
2 Cr 0.3285 0.8104 0.5181
3 Cr 0.6715 0.1897 0.4819
4 Cr 0.7922 0.8104 0.9819
5 Pt 0.1194 0.3694 0.7500
6 Pt 0.8806 0.6306 0.2500
7 Rh 0.2492 0.9992 0.2500
8 Rh 0.3783 0.6283 0.7500
9 Rh 0.6217 0.3717 0.2500
10 Rh 0.7508 0.0008 0.7500

## Properties
spin magnetization = 0.00 μB per cell
E above lowest polymorph = 0 meV per atom
calculated formation energy = -0.03 eV per atom

---

[6]
First-principles (GGA-PBE) data for a relaxed CrPtRhS2 crystal, as listed in Alexandria.

Unit cell a=4.5262 b=4.5262 c=4.5210 alpha=90.00 beta=90.00 gamma=90.00
Sites, in units of the cell vectors:
1 Cr 0.0000 0.0000 0.0000
2 Pt 0.5000 0.5000 0.0000
3 Rh 0.0000 0.0000 0.5000
4 S 0.0000 0.5000 0.5000
5 S 0.5000 0.0000 0.5000

## Properties
spin magnetization = 0.06 μB per cell
energy relative to the elements, uncorrected = 1.15 eV/atom

---

[7]
First-principles (GGA-PBE) data for a relaxed CrSb2PtRh crystal, as listed in Alexandria.

Unit cell a=4.8572 b=4.8572 c=4.6225 alpha=90.00 beta=90.00 gamma=90.00
Sites, in units of the cell vectors:
1 Cr 0.0000 0.0000 0.0000
2 Sb 0.0000 0.5000 0.0000
3 Sb 0.5000 0.0000 0.0000
4 Pt 0.0000 0.0000 0.5000
5 Rh 0.5000 0.5000 0.5000

## Properties
spin magnetization = 0.00 μB per cell
energy relative to the elements, uncorrected = 0.84 eV/atom

---

[8]
First-principles (GGA-PBE) data for a relaxed CrTe2PtRh crystal, as listed in Alexandria.

Unit cell a=4.8993 b=4.8993 c=4.6468 alpha=90.00 beta=90.00 gamma=90.00
Sites, in units of the cell vectors:
1 Cr 0.0000 0.0000 0.0000
2 Te 0.0000 0.5000 0.0000
3 Te 0.5000 0.0000 0.0000
4 Pt 0.0000 0.0000 0.5000
5 Rh 0.5000 0.5000 0.5000

## Properties
spin magnetization = 0.36 μB per cell
energy relative to the elements, uncorrected = 0.90 eV/atom